! AlFeIr6 | Alexandria | PBE | optimized geometry; values from VASP
&SYSTEM
  ibrav = 0, nat = 8, ntyp = 3
/
ATOMIC_SPECIES
Ir 192.22 Ir.upf
Al 26.98 Al.upf
Fe 55.84 Fe.upf
ATOMIC_POSITIONS crystal
Ir 0.000 0.500 0.246
Ir 0.500 0.000 0.246
Ir 0.500 0.500 0.500
Al 0.000 0.000 0.500
Ir 0.000 0.500 0.754
Fe 0.000 0.000 0.000
Ir 0.500 0.000 0.754
Ir 0.500 0.500 0.000
CELL_PARAMETERS angstrom
3.840 0.000 0.000
0.000 3.840 0.000
0.000 0.000 7.691
! **Energy relative to the elements**: -0.208 eV per atom
! **D(E_F)**: 8.39 states/eV/f.u.
! **Space-group type**: P4/mmm, No. 123
! **Crystal system**: tetragonal
! **Raw total energy**: -0.3080 hartree per atom
! **Theoretical density**: 18.10 Mg/m³